# Rb2TeClF6

A relaxed Rb2TeClF6 crystal (PBE, Alexandria).

Summary:
Formation energy (no corrections)   -20.73 eV/f.u.
Theoretical density   3.1 Mg/m³

CIF file:
```
data_Rb2TeClF6
_symmetry_space_group_name_H-M 'I 4/m m m'
_symmetry_Int_Tables_number 139
_symmetry_space_group_name_Hall '-I 4 2'
_cell_length_a 6.971
_cell_length_b 6.971
_cell_length_c 9.799
_cell_angle_alpha 90.00
_cell_angle_beta 90.00
_cell_angle_gamma 90.00
loop_
_atom_site_label
_atom_site_type_symbol
_atom_site_fract_x
_atom_site_fract_y
_atom_site_fract_z
Rb1 Rb 0.000 0.500 0.250
Te1 Te 0.000 0.000 0.000
Cl1 Cl 0.000 0.000 0.500
F1 F 0.000 0.000 0.207
F2 F 0.206 0.206 0.000
```